Entry 1:
## NdSn3Os (PBE)

Data for a relaxed structure of NdSn3Os.

Lattice parameters (Å, degrees): 4.761 4.761 11.057 90.00 90.00 90.00
Space group I4mm (No. 107)
Symmetry-distinct sites (fractional):
Nd  0.000  0.000  0.000
Sn  0.000  0.000  0.568
Sn  0.000  0.500  0.245
Os  0.000  0.000  0.340

Results
* DFT total energy: -5.841 eV per atom

Entry 2:
## NaHfPb (PBE)

Data for a relaxed structure of NaHfPb.

Lattice parameters (Å, degrees): 6.786 6.786 6.786 90.00 90.00 90.00
Space group F-43m (No. 216)
Symmetry-distinct sites (fractional):
Na  0.000  0.000  0.000
Hf  0.250  0.250  0.750
Pb  0.250  0.250  0.250

Results
* DFT total energy: -4.084 eV per atom

Entry 3:
## ErSnPbSe3 (PBE)

Data for a relaxed structure of ErSnPbSe3.

Lattice parameters (Å, degrees): 3.965 14.952 11.664 90.00 90.00 90.00
Space group Cmcm (No. 63)
Symmetry-distinct sites (fractional):
Er  0.000  0.000  0.000
Sn  0.000  0.352  0.250
Pb  0.000  0.335  0.750
Se  0.000  0.003  0.750
Se  0.000  0.367  0.003

Results
* DFT total energy: -4.692 eV per atom

Entry 4:
## TbNd3Ir8 (PBE)

Data for a relaxed structure of TbNd3Ir8.

Lattice parameters (Å, degrees): 5.4126 5.4126 26.5008 90.00 90.00 120.00
Space group R3m (No. 160, hexagonal axes)
Symmetry-distinct sites (fractional):
Tb  0.0000  0.0000  0.0000
Nd  0.0000  0.0000  0.3746
Nd  0.0000  0.0000  0.4997
Nd  0.0000  0.0000  0.8752
Ir  0.0000  0.0000  0.1873
Ir  0.0000  0.0000  0.6872
Ir  0.0005  0.5002  0.9380
Ir  0.1671  0.3341  0.7700

Results
* DFT total energy: -8.204 eV per atom

Entry 5:
## Dy2YMg3Tl2Hg (PBE)

Data for a relaxed structure of Dy2YMg3Tl2Hg.

Lattice parameters (Å, degrees): 4.599 13.035 7.519 90.00 90.00 90.00
Space group Amm2 (No. 38)
Symmetry-distinct sites (fractional):
Dy  0.000  0.210  0.000
Y  0.000  0.000  0.369
Mg  0.500  0.000  0.028
Mg  0.500  0.119  0.670
Tl  0.500  0.167  0.290
Hg  0.000  0.000  0.790

Results
* DFT total energy: -3.197 eV per atom

Entry 6:
## MgFeHgS3 (PBE)

Data for a relaxed structure of MgFeHgS3.

Lattice parameters (Å, degrees): 3.614 11.521 12.248 90.00 90.00 90.00
Space group Cmcm (No. 63)
Symmetry-distinct sites (fractional):
Mg  0.000  0.231  0.250
Fe  0.000  0.480  0.750
Hg  0.000  0.000  0.000
S  0.000  0.107  0.750
S  0.000  0.363  0.604

Results
* DFT total energy: -4.130 eV per atom

Entry 7:
## AcSi2Ag2 (PBE)

Data for a relaxed structure of AcSi2Ag2.

Lattice parameters (Å, degrees): 4.434 4.434 10.616 90.00 90.00 90.00
Space group I4/mmm (No. 139)
Symmetry-distinct sites (fractional):
Ac  0.000  0.000  0.000
Si  0.000  0.000  0.388
Ag  0.000  0.500  0.250

Results
* DFT total energy: -4.544 eV per atom

Entry 8:
## SrCu2SnS4 (PBE)

Data for a relaxed structure of SrCu2SnS4.

Lattice parameters (Å, degrees): 6.3297 6.3297 15.6098 90.00 90.00 120.00
Space group P3_1 (No. 144)
Symmetry-distinct sites (fractional):
Sr  0.0006  0.5595  0.0000
Cu  0.0751  0.6413  0.2457
Cu  0.4335  0.3598  0.0885
Sn  0.9997  0.7052  0.5009
S  0.0424  0.4863  0.6219
S  0.1187  0.3535  0.1640
S  0.3536  0.1179  0.5049
S  0.4862  0.0421  0.0466

Results
* DFT total energy: -4.486 eV per atom